No. 1
Material: AlH15Br3N5
Method: DFT, PBE-GGA
State: relaxed

Values from the calculation:
Its density of states at the Fermi level is 0.0000 states/eV/atom. The electronic total energy is -4.83 eV/atom. For the spin magnetization, the calculation gives 0.00 μB/f.u.

Cell: 14.0518 11.0734 7.0033 Å, 90.00 90.00 90.00°
Space group Pnma (No. 62)
Symmetry-distinct sites (fractional):
Al 0.1024 0.2500 0.1718
H 0.0240 0.2500 0.5206
H 0.0429 0.6755 0.6324
H 0.0540 0.0230 0.2394
H 0.0978 0.0360 0.0227
H 0.1703 0.0315 0.2053
H 0.1895 0.1753 0.8657
H 0.1963 0.1751 0.4683
H 0.2258 0.7500 0.8399
H 0.2314 0.7500 0.4939
Br 0.0322 0.7500 0.0723
Br 0.1476 0.5011 0.6645
N 0.0012 0.2500 0.3809
N 0.1057 0.0662 0.1612
N 0.1986 0.2500 0.9526
N 0.2041 0.2500 0.3810

No. 2
Material: Nb2AlHBr
Method: DFT, PBE-GGA
State: relaxed

Values from the calculation:
Its density of states at the Fermi level is 1.1735 states/eV/atom. The electronic total energy is -4.81 eV/atom. For the spin magnetization, the calculation gives 0.00 μB/f.u.

Cell: 5.1618 5.1618 3.1817 Å, 90.00 90.00 90.00°
Space group P4/mmm (No. 123)
Symmetry-distinct sites (fractional):
Nb 0.0000 0.5000 0.0000
Al 0.0000 0.0000 0.0000
H 0.0000 0.0000 0.5000
Br 0.5000 0.5000 0.5000

No. 3
Material: AlH6BrO4
Method: DFT, PBE-GGA
State: relaxed

Values from the calculation:
Its density of states at the Fermi level is 0.0000 states/eV/atom. The electronic total energy is -5.18 eV/atom. For the spin magnetization, the calculation gives 0.11 μB/f.u.

Cell: 9.1043 13.6170 5.2309 Å, 90.00 123.27 90.00°
Space group C2/c (No. 15)
Symmetry-distinct sites (fractional):
Al 0.0000 0.0488 0.2500
H 0.0879 0.2138 0.1105
H 0.2389 0.0736 0.8256
H 0.2423 0.3518 0.7111
Br 0.0000 0.3401 0.7500
O 0.1333 0.0381 0.6746
O 0.1447 0.1615 0.2677

No. 4
Material: Rb2AlHBr6
Method: DFT, PBE-GGA
State: relaxed

Values from the calculation:
Its density of states at the Fermi level is 0.0749 states/eV/atom. The electronic total energy is -2.84 eV/atom. For the spin magnetization, the calculation gives 0.00 μB/f.u.

Cell: 7.0983 7.0983 11.5048 Å, 90.00 90.00 90.00°
Space group I4/mmm (No. 139)
Symmetry-distinct sites (fractional):
Rb 0.0000 0.5000 0.2500
Al 0.0000 0.0000 0.0000
H 0.0000 0.0000 0.5000
Br 0.0000 0.0000 0.2137
Br 0.2407 0.2407 0.5000